Record 1
# PBE Na3PrDy2S6, optimized geometry
# Total magnetization = 0.000 μB/f.u.
# Calculated volume = 23.7 Å³/atom
# D(E_F) = 0.000 states/eV per atom
# Energy = -5.38 eV/atom
# Formation energy (no corrections) = -1.823 eV/atom
data_Na3PrDy2S6
_chemical_formula_sum 'Na6 Pr2 Dy4 S12'
_cell_length_a 7.0088
_cell_length_b 12.1404
_cell_length_c 7.0870
_cell_angle_alpha 90.00
_cell_angle_beta 109.26
_cell_angle_gamma 90.00
_symmetry_space_group_name_H-M 'C 1 2/m 1'
_symmetry_Int_Tables_number 12
loop_
_symmetry_equiv_pos_as_xyz
'x,y,z'
'-x,-y,-z'
'-x,y,-z'
'x,-y,z'
'x+1/2,y+1/2,z'
'-x+1/2,-y+1/2,-z'
'-x+1/2,y+1/2,-z'
'x+1/2,-y+1/2,z'
loop_
_atom_site_label
_atom_site_fract_x
_atom_site_fract_y
_atom_site_fract_z
Na1 0.0000 0.0000 0.0000
Na2 0.0000 0.3336 0.0000
Pr1 0.0000 0.5000 0.5000
Dy1 0.0000 0.1668 0.5000
S1 0.2331 0.0000 0.7299
S2 0.2481 0.3282 0.7287

Record 2
# PBE NaPr2DyS4, optimized geometry
# Total magnetization = 0.000 μB/f.u.
# Calculated volume = 23.3 Å³/atom
# D(E_F) = 0.327 states/eV per atom
# Energy = -5.90 eV/atom
# Formation energy (no corrections) = -1.901 eV/atom
data_NaPr2DyS4
_chemical_formula_sum 'Na1 Pr2 Dy1 S4'
_cell_length_a 6.9930
_cell_length_b 4.0292
_cell_length_c 7.0084
_cell_angle_alpha 90.00
_cell_angle_beta 109.20
_cell_angle_gamma 90.00
_symmetry_space_group_name_H-M 'P 1 2/m 1'
_symmetry_Int_Tables_number 10
loop_
_symmetry_equiv_pos_as_xyz
'x,y,z'
'-x,-y,-z'
'-x,y,-z'
'x,-y,z'
loop_
_atom_site_label
_atom_site_fract_x
_atom_site_fract_y
_atom_site_fract_z
Na1 0.0000 0.0000 0.0000
Pr1 0.0000 0.5000 0.5000
Pr2 0.5000 0.0000 0.5000
Dy1 0.5000 0.5000 0.0000
S1 0.2540 0.5000 0.2419
S2 0.2585 0.0000 0.7649

Record 3
# PBE NaPrDy2S4, optimized geometry
# Total magnetization = 0.000 μB/f.u.
# Calculated volume = 22.5 Å³/atom
# D(E_F) = 0.320 states/eV per atom
# Energy = -5.90 eV/atom
# Formation energy (no corrections) = -1.923 eV/atom
data_NaPrDy2S4
_chemical_formula_sum 'Na1 Pr1 Dy2 S4'
_cell_length_a 6.9149
_cell_length_b 3.9578
_cell_length_c 6.9659
_cell_angle_alpha 90.00
_cell_angle_beta 108.95
_cell_angle_gamma 90.00
_symmetry_space_group_name_H-M 'P 1 2/m 1'
_symmetry_Int_Tables_number 10
loop_
_symmetry_equiv_pos_as_xyz
'x,y,z'
'-x,-y,-z'
'-x,y,-z'
'x,-y,z'
loop_
_atom_site_label
_atom_site_fract_x
_atom_site_fract_y
_atom_site_fract_z
Na1 0.0000 0.0000 0.0000
Pr1 0.5000 0.5000 0.0000
Dy1 0.0000 0.5000 0.5000
Dy2 0.5000 0.0000 0.5000
S1 0.2411 0.0000 0.7362
S2 0.2536 0.5000 0.2649

Record 4
# PBE Na2Pr3DySe6, optimized geometry
# Total magnetization = 0.000 μB/f.u.
# Calculated volume = 26.7 Å³/atom
# D(E_F) = 0.287 states/eV per atom
# Energy = -5.27 eV/atom
# Formation energy (no corrections) = -1.725 eV/atom
data_Na2Pr3DySe6
_chemical_formula_sum 'Na4 Pr6 Dy2 Se12'
_cell_length_a 7.3225
_cell_length_b 12.6701
_cell_length_c 7.3159
_cell_angle_alpha 90.00
_cell_angle_beta 109.38
_cell_angle_gamma 90.00
_symmetry_space_group_name_H-M 'C 1 2/m 1'
_symmetry_Int_Tables_number 12
loop_
_symmetry_equiv_pos_as_xyz
'x,y,z'
'-x,-y,-z'
'-x,y,-z'
'x,-y,z'
'x+1/2,y+1/2,z'
'-x+1/2,-y+1/2,-z'
'-x+1/2,y+1/2,-z'
'x+1/2,-y+1/2,z'
loop_
_atom_site_label
_atom_site_fract_x
_atom_site_fract_y
_atom_site_fract_z
Na1 0.0000 0.1655 0.0000
Pr1 0.0000 0.0000 0.5000
Pr2 0.0000 0.3296 0.5000
Dy1 0.0000 0.5000 0.0000
Se1 0.2432 0.3371 0.2408
Se2 0.2425 0.5000 0.7535

Record 5
# PBE NaPr2Dy3Se6, optimized geometry
# Total magnetization = 0.000 μB/f.u.
# Calculated volume = 25.6 Å³/atom
# D(E_F) = 0.285 states/eV per atom
# Energy = -5.58 eV/atom
# Formation energy (no corrections) = -1.778 eV/atom
data_NaPr2Dy3Se6
_chemical_formula_sum 'Na2 Pr4 Dy6 Se12'
_cell_length_a 18.2521
_cell_length_b 4.1304
_cell_length_c 8.4037
_cell_angle_alpha 90.00
_cell_angle_beta 104.04
_cell_angle_gamma 90.00
_symmetry_space_group_name_H-M 'C 1 2/m 1'
_symmetry_Int_Tables_number 12
loop_
_symmetry_equiv_pos_as_xyz
'x,y,z'
'-x,-y,-z'
'-x,y,-z'
'x,-y,z'
'x+1/2,y+1/2,z'
'-x+1/2,-y+1/2,-z'
'-x+1/2,y+1/2,-z'
'x+1/2,-y+1/2,z'
loop_
_atom_site_label
_atom_site_fract_x
_atom_site_fract_y
_atom_site_fract_z
Na1 0.0000 0.0000 0.0000
Pr1 0.1707 0.5000 0.3432
Dy1 0.0000 0.0000 0.5000
Dy2 0.1665 0.5000 0.8280
Se1 0.0023 0.5000 0.7444
Se2 0.1607 0.0000 0.5933
Se3 0.1684 0.0000 0.0727

Record 6
# PBE NaPr2DySe4, optimized geometry
# Total magnetization = 0.000 μB/f.u.
# Calculated volume = 26.3 Å³/atom
# D(E_F) = 0.352 states/eV per atom
# Energy = -5.43 eV/atom
# Formation energy (no corrections) = -1.750 eV/atom
data_NaPr2DySe4
_chemical_formula_sum 'Na1 Pr2 Dy1 Se4'
_cell_length_a 7.2817
_cell_length_b 4.1859
_cell_length_c 7.2953
_cell_angle_alpha 90.00
_cell_angle_beta 109.10
_cell_angle_gamma 90.00
_symmetry_space_group_name_H-M 'P 1 2/m 1'
_symmetry_Int_Tables_number 10
loop_
_symmetry_equiv_pos_as_xyz
'x,y,z'
'-x,-y,-z'
'-x,y,-z'
'x,-y,z'
loop_
_atom_site_label
_atom_site_fract_x
_atom_site_fract_y
_atom_site_fract_z
Na1 0.0000 0.0000 0.0000
Pr1 0.0000 0.5000 0.5000
Pr2 0.5000 0.0000 0.5000
Dy1 0.5000 0.5000 0.0000
Se1 0.2521 0.5000 0.2410
Se2 0.2570 0.0000 0.7646

Record 7
# PBE NaPrDy4Se8, optimized geometry
# Total magnetization = 0.000 μB/f.u.
# Calculated volume = 31.3 Å³/atom
# D(E_F) = 0.000 states/eV per atom
# Energy = -5.50 eV/atom
# Formation energy (no corrections) = -1.761 eV/atom
data_NaPrDy4Se8
_chemical_formula_sum 'Na3 Pr3 Dy12 Se24'
_cell_length_a 8.4679
_cell_length_b 8.4679
_cell_length_c 21.1473
_cell_angle_alpha 90.00
_cell_angle_beta 90.00
_cell_angle_gamma 120.00
_symmetry_space_group_name_H-M 'R 3 m'
_symmetry_Int_Tables_number 160
_symmetry_space_group_name_Hall 'R 3 -2"'
loop_
_atom_site_label
_atom_site_fract_x
_atom_site_fract_y
_atom_site_fract_z
Na1 0.0000 0.0000 0.0000
Pr1 0.0000 0.0000 0.3681
Dy1 0.0000 0.0000 0.7461
Dy2 0.0130 0.5065 0.8740
Se1 0.0000 0.0000 0.1333
Se2 0.0000 0.0000 0.6141
Se3 0.0149 0.5075 0.1279
Se4 0.1772 0.3543 0.9491

Record 8
# PBE Na2PrDy3Se6, optimized geometry
# Total magnetization = 0.000 μB/f.u.
# Calculated volume = 25.5 Å³/atom
# D(E_F) = 0.250 states/eV per atom
# Energy = -5.24 eV/atom
# Formation energy (no corrections) = -1.728 eV/atom
data_Na2PrDy3Se6
_chemical_formula_sum 'Na4 Pr2 Dy6 Se12'
_cell_length_a 7.1610
_cell_length_b 12.3930
_cell_length_c 7.2884
_cell_angle_alpha 90.00
_cell_angle_beta 109.10
_cell_angle_gamma 90.00
_symmetry_space_group_name_H-M 'C 1 2/m 1'
_symmetry_Int_Tables_number 12
loop_
_symmetry_equiv_pos_as_xyz
'x,y,z'
'-x,-y,-z'
'-x,y,-z'
'x,-y,z'
'x+1/2,y+1/2,z'
'-x+1/2,-y+1/2,-z'
'-x+1/2,y+1/2,-z'
'x+1/2,-y+1/2,z'
loop_
_atom_site_label
_atom_site_fract_x
_atom_site_fract_y
_atom_site_fract_z
Na1 0.0000 0.1666 0.0000
Pr1 0.0000 0.5000 0.0000
Dy1 0.0000 0.0000 0.5000
Dy2 0.0000 0.3327 0.5000
Se1 0.2452 0.1678 0.7392
Se2 0.2475 0.5000 0.7369